Record 1
Computed, not measured: La2MgPb after structural relaxation at the GGA-PBEsol level of DFT.

Unit cell a=4.539 b=5.117 c=5.117 alpha=90.00 beta=90.00 gamma=90.00
Atoms (fractional coordinates):
1 Mg 0.500 0.500 0.500
2 La 0.000 0.000 0.500
3 Pb 0.500 0.000 0.000
4 La 0.000 0.500 0.000

- Crystal system: tetragonal
- Calculated volume: 29.7 A^3/atom
- Uncorrected energy: -4.498 eV/atom
- Energy of formation from the pure elements: -396 meV/atom



Record 2
Computed, not measured: InCo2Rh after structural relaxation at the GGA-PBEsol level of DFT.

Unit cell a=2.719 b=4.905 c=4.920 alpha=116.59 beta=100.64 gamma=100.60
Atoms (fractional coordinates):
1 Co 0.000 0.000 0.500
2 Rh 0.000 0.500 0.000
3 Co 0.500 0.500 0.500
4 In 0.500 0.000 0.000

- Crystal system: monoclinic
- Calculated volume: 13.7 A^3/atom
- Uncorrected energy: -6.382 eV/atom
- Energy of formation from the pure elements: 267 meV/atom



Record 3
Computed, not measured: Dy14Pb3S24 after structural relaxation at the GGA-PBEsol level of DFT.

Unit cell a=7.159 b=7.159 c=18.087 alpha=97.57 beta=97.49 gamma=109.74
Atoms (fractional coordinates):
1 Dy 0.133 0.259 0.879
2 S 0.753 0.511 0.638
3 S 0.702 0.955 0.532
4 S 0.853 0.260 0.756
5 Dy 0.507 0.125 0.631
6 S 0.040 0.295 0.195
7 S 0.184 0.774 0.583
8 S 0.419 0.164 0.965
9 Dy 0.038 0.920 0.461
10 S 0.100 0.845 0.805
11 S 0.769 0.514 0.134
12 Pb 0.958 0.956 0.670
13 S 0.833 0.430 0.918
14 Dy 0.205 0.706 0.162
15 S 0.191 0.601 0.417
16 S 0.512 0.915 0.082
17 Dy 0.494 0.876 0.369
18 S 0.840 0.950 0.916
19 Pb 0.287 0.288 0.330
20 S 0.873 0.115 0.362
21 S 0.034 0.924 0.084
22 S 0.368 0.258 0.756
23 S 0.539 0.798 0.707
24 Dy 0.790 0.904 0.196
25 S 0.091 0.832 0.293
26 S 0.423 0.170 0.468
27 S 0.504 0.097 0.244
28 Dy 0.168 0.779 0.962
29 Dy 0.163 0.543 0.712
30 Dy 0.708 0.594 0.804
31 S 0.689 0.597 0.411
32 S 0.199 0.454 0.035
33 Pb 0.876 0.376 0.500
34 Dy 0.459 0.577 0.539
35 Dy 0.380 0.254 0.121
36 Dy 0.831 0.451 0.288
37 S 0.380 0.636 0.866
38 S 0.186 0.278 0.589
39 S 0.502 0.612 0.244
40 Dy 0.817 0.206 0.038
41 Dy 0.544 0.043 0.838

- Crystal system: monoclinic
- Calculated volume: 20.7 A^3/atom
- Formation energy (no corrections): -1876.1 meV/atom
- Uncorrected energy: -6.435 eV/atom



Record 4
Computed, not measured: LiTcSb2 after structural relaxation at the GGA-PBEsol level of DFT.

Unit cell a=3.207 b=3.203 c=7.674 alpha=90.00 beta=96.02 gamma=90.00
Atoms (fractional coordinates):
1 Sb 0.952 0.000 0.786
2 Li 0.500 0.500 0.500
3 Tc 0.500 0.500 0.000
4 Sb 0.048 0.000 0.214

- Crystal system: monoclinic
- Calculated volume: 19.6 A^3/atom
- Formation energy (no corrections): -193.0 meV/atom
- Uncorrected energy: -5.780 eV/atom



Record 5
Computed, not measured: Ba4PbBr after structural relaxation at the GGA-PBEsol level of DFT.

Unit cell a=7.056 b=7.056 c=7.056 alpha=60.00 beta=60.00 gamma=60.00
Atoms (fractional coordinates):
1 Ba 0.877 0.374 0.374
2 Ba 0.374 0.374 0.877
3 Ba 0.374 0.374 0.374
4 Ba 0.374 0.877 0.374
5 Pb 0.000 0.000 0.000
6 Br 0.750 0.750 0.750

- Crystal system: cubic
- Calculated volume: 41.4 A^3/atom
- Formation energy (no corrections): -97.8 meV/atom
- Uncorrected energy: -2.508 eV/atom



Record 6
Computed, not measured: CdSbAs after structural relaxation at the GGA-PBEsol level of DFT.

Unit cell a=4.807 b=4.807 c=4.807 alpha=60.00 beta=60.00 gamma=60.00
Atoms (fractional coordinates):
1 As 0.250 0.250 0.250
2 Sb 0.500 0.500 0.500
3 Cd 0.000 0.000 0.000

- Crystal system: cubic
- Calculated volume: 26.2 A^3/atom
- Formation energy (no corrections): 238.7 meV/atom
- Uncorrected energy: -3.382 eV/atom



Record 7
Computed, not measured: Mn2OsPt after structural relaxation at the GGA-PBEsol level of DFT.

Unit cell a=4.240 b=4.240 c=4.240 alpha=60.00 beta=60.00 gamma=60.00
Atoms (fractional coordinates):
1 Mn 0.750 0.750 0.750
2 Mn 0.000 0.000 0.000
3 Os 0.500 0.500 0.500
4 Pt 0.250 0.250 0.250

- Crystal system: cubic
- Calculated volume: 13.5 A^3/atom
- Uncorrected energy: -9.326 eV/atom
- Energy of formation from the pure elements: 349 meV/atom



Record 8
Computed, not measured: HfNb2ZnPd after structural relaxation at the GGA-PBEsol level of DFT.

Unit cell a=4.484 b=4.672 c=4.672 alpha=90.00 beta=90.00 gamma=90.00
Atoms (fractional coordinates):
1 Hf 0.500 0.500 0.500
2 Nb 0.000 0.500 0.000
3 Zn 0.000 0.000 0.000
4 Pd 0.500 0.000 0.000
5 Nb 0.000 0.000 0.500

- Crystal system: tetragonal
- Calculated volume: 19.6 A^3/atom
- Uncorrected energy: -7.085 eV/atom
- Energy of formation from the pure elements: 853 meV/atom



Record 9
Computed, not measured: Cu3OF5 after structural relaxation at the GGA-PBEsol level of DFT.

Unit cell a=4.503 b=4.541 c=9.283 alpha=90.00 beta=90.14 gamma=90.00
Atoms (fractional coordinates):
1 F 0.221 0.504 0.166
2 F 0.721 0.496 0.666
3 O 0.810 0.086 0.167
4 F 0.297 0.974 0.333
5 F 0.298 0.974 0.001
6 F 0.190 0.434 0.841
7 F 0.690 0.565 0.992
8 Cu 0.486 0.743 0.826
9 Cu 0.986 0.257 0.007
10 Cu 0.522 0.799 0.167
11 Cu 0.022 0.201 0.667
12 Cu 0.986 0.257 0.326
13 F 0.190 0.435 0.492
14 F 0.798 0.026 0.501
15 F 0.797 0.026 0.833
16 O 0.310 0.914 0.667
17 F 0.690 0.566 0.341
18 Cu 0.486 0.743 0.507

- Crystal system: monoclinic
- Calculated volume: 10.5 A^3/atom
- Formation energy (no corrections): -1270.4 meV/atom
- Uncorrected energy: -4.369 eV/atom



Record 10
Computed, not measured: ZnFeB3 after structural relaxation at the GGA-PBEsol level of DFT.

Unit cell a=3.744 b=3.744 c=3.744 alpha=90.00 beta=90.00 gamma=90.00
Atoms (fractional coordinates):
1 Fe 0.000 0.000 0.000
2 B 0.000 0.000 0.500
3 Zn 0.500 0.500 0.500
4 B 0.000 0.500 0.000
5 B 0.500 0.000 0.000

- Crystal system: cubic
- Calculated volume: 10.5 A^3/atom
- Uncorrected energy: -5.500 eV/atom
- Energy of formation from the pure elements: 819 meV/atom



Record 11
Computed, not measured: YCu2Ir after structural relaxation at the GGA-PBEsol level of DFT.

Unit cell a=3.969 b=3.969 c=4.844 alpha=114.19 beta=114.19 gamma=90.00
Atoms (fractional coordinates):
1 Cu 0.000 0.000 0.000
2 Cu 0.750 0.250 0.500
3 Ir 0.500 0.500 0.000
4 Y 0.250 0.750 0.500

- Crystal system: tetragonal
- Calculated volume: 15.5 A^3/atom
- Uncorrected energy: -6.511 eV/atom
- Energy of formation from the pure elements: -183 meV/atom



Record 12
Computed, not measured: LiMg after structural relaxation at the GGA-PBEsol level of DFT.

Unit cell a=3.393 b=3.393 c=3.398 alpha=90.00 beta=90.00 gamma=90.00
Atoms (fractional coordinates):
1 Li 0.000 0.000 0.000
2 Mg 0.500 0.500 0.500

- Crystal system: cubic
- Calculated volume: 19.6 A^3/atom
- Uncorrected energy: -1.904 eV/atom
- Energy of formation from the pure elements: -63 meV/atom



- Number 8 is which compound?
  HfNb2ZnPd



- The highest calculated volume belongs to which entry?
  Ba4PbBr



- Number 9 is which compound?
  Cu3OF5